(1)
## ZnSn2N (GGA-PBE)

Data for ZnSn2N after structural relaxation.

Structure (CIF):
```
data_ZnSn2N
_cell_length_a 6.6734
_cell_length_b 6.6734
_cell_length_c 6.6734
_cell_angle_alpha 90.00
_cell_angle_beta 90.00
_cell_angle_gamma 90.00
_symmetry_space_group_name_H-M 'F m -3 m'
_symmetry_Int_Tables_number 225
_symmetry_space_group_name_Hall '-F 4 2 3'
loop_
_atom_site_label
_atom_site_fract_x
_atom_site_fract_y
_atom_site_fract_z
Zn1 0.0000 0.0000 0.0000
Sn1 0.2500 0.2500 0.2500
N1 0.0000 0.0000 0.5000
```

Results
**Energy relative to the lowest polymorph listed for this composition**: 596 meV per atom
**Spin magnetization**: 0.433 μB/f.u.
**D(E_F)**: 0.66 states/eV/atom
**Raw total energy**: -3.4756 eV/atom

***

(2)
## Pm2MnGe6Os (GGA-PBE)

Data for Pm2MnGe6Os after structural relaxation.

Structure (CIF):
```
data_Pm2MnGe6Os
_cell_length_a 7.6818
_cell_length_b 7.6818
_cell_length_c 25.9249
_cell_angle_alpha 90.00
_cell_angle_beta 90.00
_cell_angle_gamma 120.00
_symmetry_space_group_name_H-M 'R -3 m'
_symmetry_Int_Tables_number 166
_symmetry_space_group_name_Hall '-R 3 2"'
loop_
_atom_site_label
_atom_site_fract_x
_atom_site_fract_y
_atom_site_fract_z
Pm1 0.0000 0.0000 0.1316
Pm2 0.0000 0.0000 0.2818
Mn1 0.0000 0.0000 0.0000
Mn2 0.0000 0.0000 0.5000
Ge1 0.0115 0.5057 0.1237
Ge2 0.0192 0.5096 0.7114
Os1 0.0000 0.0000 0.3982
```

Results
**Spin magnetization**: 2.075 μB/f.u.
**D(E_F)**: 0.69 states/eV/atom
**Energy of formation from the pure elements**: -1.4 eV per formula unit
**Raw total energy**: -5.9002 eV/atom

***

(3)
## Er5BiIr2 (GGA-PBE)

Data for Er5BiIr2 after structural relaxation.

Structure (CIF):
```
data_Er5BiIr2
_cell_length_a 7.7581
_cell_length_b 7.7581
_cell_length_c 13.5908
_cell_angle_alpha 90.00
_cell_angle_beta 90.00
_cell_angle_gamma 90.00
_symmetry_space_group_name_H-M 'I 4/m c m'
_symmetry_Int_Tables_number 140
_symmetry_space_group_name_Hall '-I 4 2c'
loop_
_atom_site_label
_atom_site_fract_x
_atom_site_fract_y
_atom_site_fract_z
Er1 0.0000 0.0000 0.0000
Er2 0.1558 0.3442 0.1306
Bi1 0.0000 0.0000 0.2500
Ir1 0.1405 0.3595 0.5000
```

Results
**Spin magnetization**: 0.000 μB/f.u.
**D(E_F)**: 0.84 states/eV/atom
**Energy of formation from the pure elements**: -6.3 eV per formula unit
**Raw total energy**: -6.3395 eV/atom

***

(4)
## K2LiMgCu (GGA-PBE)

Data for K2LiMgCu after structural relaxation.

Structure (CIF):
```
data_K2LiMgCu
_cell_length_a 6.2250
_cell_length_b 6.2250
_cell_length_c 5.2159
_cell_angle_alpha 90.00
_cell_angle_beta 90.00
_cell_angle_gamma 90.00
_symmetry_space_group_name_H-M 'P 4/m m m'
_symmetry_Int_Tables_number 123
_symmetry_space_group_name_Hall '-P 4 2'
loop_
_atom_site_label
_atom_site_fract_x
_atom_site_fract_y
_atom_site_fract_z
K1 0.0000 0.5000 0.0000
Li1 0.0000 0.0000 0.5000
Mg1 0.5000 0.5000 0.5000
Cu1 0.5000 0.5000 0.0000
```

Results
**Spin magnetization**: 0.000 μB/f.u.
**D(E_F)**: 0.55 states/eV/atom
**Energy of formation from the pure elements**: 1.6 eV per formula unit
**Raw total energy**: -1.6438 eV/atom

***

(5)
## NpPaNb2 (GGA-PBE)

Data for NpPaNb2 after structural relaxation.

Structure (CIF):
```
data_NpPaNb2
_cell_length_a 2.9416
_cell_length_b 2.9416
_cell_length_c 33.8597
_cell_angle_alpha 90.00
_cell_angle_beta 90.00
_cell_angle_gamma 120.00
_symmetry_space_group_name_H-M 'R -3 m'
_symmetry_Int_Tables_number 166
_symmetry_space_group_name_Hall '-R 3 2"'
loop_
_atom_site_label
_atom_site_fract_x
_atom_site_fract_y
_atom_site_fract_z
Np1 0.0000 0.0000 0.0000
Pa1 0.0000 0.0000 0.5000
Nb1 0.0000 0.0000 0.2503
```

Results
**Energy relative to the lowest polymorph listed for this composition**: 0 meV per atom
**Spin magnetization**: 3.235 μB/f.u.
**D(E_F)**: 1.86 states/eV/atom
**Energy of formation from the pure elements**: 1.6 eV per formula unit
**Raw total energy**: -10.2355 eV/atom

***

(6)
## LiPrSnPb (GGA-PBE)

Data for LiPrSnPb after structural relaxation.

Structure (CIF):
```
data_LiPrSnPb
_cell_length_a 4.5975
_cell_length_b 4.7445
_cell_length_c 4.8567
_cell_angle_alpha 90.00
_cell_angle_beta 90.00
_cell_angle_gamma 90.00
_symmetry_space_group_name_H-M 'P m m m'
_symmetry_Int_Tables_number 47
_symmetry_space_group_name_Hall '-P 2 2'
loop_
_atom_site_label
_atom_site_fract_x
_atom_site_fract_y
_atom_site_fract_z
Li1 0.0000 0.0000 0.0000
Pr1 0.0000 0.5000 0.5000
Sn1 0.5000 0.0000 0.5000
Pb1 0.5000 0.5000 0.0000
```

Results
**Energy relative to the lowest polymorph listed for this composition**: 0 meV per atom
**Spin magnetization**: 0.000 μB/f.u.
**D(E_F)**: 0.31 states/eV/atom
**Energy of formation from the pure elements**: -2.1 eV per formula unit
**Raw total energy**: -4.1143 eV/atom

***

> Which value of D(E_F) does entry 1 give?

0.66 states/eV/atom